Entry from Alexandria: a relaxed MgUS2 crystal (PBE-GGA).

extended XYZ file:
```
12
Lattice="3.586 0.000 0.000 -1.793 3.105 0.000 0.000 0.000 21.108" Properties=species:S:1:pos:R:3 pbc="T T T"
Mg 0.000 0.000 0.000
Mg 0.000 2.070 14.072
Mg 1.793 1.035 7.036
U 0.000 0.000 17.555
U 0.000 2.070 10.519
U 1.793 1.035 3.483
S 0.000 0.000 5.366
S 0.000 0.000 8.626
S 0.000 2.070 1.590
S 0.000 2.070 19.438
S 1.793 1.035 12.402
S 1.793 1.035 15.661
```

Results
The energy above the most stable polymorph in this dataset comes out at 0.079 eV/atom. As for the space-group type: R3m. For the total magnetization, the calculation gives 0.666 μB per atom. The calculation puts the total energy at -6.43 eV/atom. The value obtained for the mass density is 6.919 g cm⁻³. As for the crystal system: trigonal. Its calculated volume is 235.05 Å³ per cell.